# Sr5La5CuNi4O20, optimized geometry, DFT PBE with a Hubbard U
# energy	-227.61	eV for the cell shown
# DOS(E_F)	5.02	states/eV/f.u.
# space-group type	P1 (1)
# M_tot	4.03	μB per formula unit
# calculated volume	13.4	Å³ per atom
data_Sr5La5CuNi4O20
_chemical_formula_sum 'Sr5 La5 Cu1 Ni4 O20'
_cell_length_a 6.8761
_cell_length_b 8.6188
_cell_length_c 8.6308
_cell_angle_alpha 89.95
_cell_angle_beta 82.72
_cell_angle_gamma 67.78
_space_group_name_H-M_alt 'P 1'
_space_group_IT_number 1
loop_
_space_group_symop_operation_xyz
'x,y,z'
loop_
_atom_site_label
_atom_site_type_symbol
_atom_site_fract_x
_atom_site_fract_y
_atom_site_fract_z
_atom_site_occupancy
Sr1 Sr 0.0000 0.0000 0.0000 1
Sr2 Sr 0.0001 0.2009 0.4003 1
Sr3 Sr 0.0009 0.3990 0.8005 1
Sr4 Sr 0.0024 0.5982 0.2006 1
Sr5 Sr 0.5720 0.6288 0.5432 1
La1 La 0.0121 0.7952 0.5985 1
La2 La 0.5595 0.2322 0.7443 1
La3 La 0.5606 0.4326 0.1428 1
La4 La 0.5625 0.0301 0.3434 1
La5 La 0.5623 0.8286 0.9450 1
Cu1 Cu 0.2817 0.0149 0.6721 1
Ni1 Ni 0.2716 0.2175 0.0744 1
Ni2 Ni 0.2774 0.6152 0.8725 1
Ni3 Ni 0.2779 0.8174 0.2712 1
Ni4 Ni 0.2825 0.4161 0.4721 1
O1 O 0.2865 0.0143 0.1716 1
O2 O 0.2859 0.7135 0.0701 1
O3 O 0.2892 0.4098 0.9724 1
O4 O 0.2899 0.8178 0.7680 1
O5 O 0.2900 0.9168 0.4767 1
O6 O 0.2921 0.5115 0.6700 1
O7 O 0.2939 0.3122 0.2745 1
O8 O 0.2935 0.6146 0.3695 1
O9 O 0.2952 0.2048 0.5739 1
O10 O 0.2983 0.1056 0.8644 1
O11 O 0.6057 0.3090 0.4381 1
O12 O 0.6076 0.1146 0.0416 1
O13 O 0.6099 0.5140 0.8505 1
O14 O 0.6107 0.7231 0.2267 1
O15 O 0.6435 0.9131 0.6359 1
O16 O 0.9266 0.1167 0.7057 1
O17 O 0.9377 0.3176 0.1075 1
O18 O 0.9400 0.7208 0.8931 1
O19 O 0.9411 0.9142 0.3171 1
O20 O 0.9651 0.5198 0.5069 1